DFT (meta-GGA SCAN) results for Ba2LaRu at its PBEsol-relaxed geometry.

Computed properties:
Energy of formation ... 68 kJ/mol of atoms
Density ... 7.27 Mg/m³
Energy above the lowest structure with this stoichiometry ... 233 kJ/mol of formula units
Uncorrected energy ... -38.55 eV per atom

```
data_Ba2LaRu
_cell_length_a 3.801
_cell_length_b 4.916
_cell_length_c 6.287
_cell_angle_alpha 90.00
_cell_angle_beta 90.00
_cell_angle_gamma 90.00
_symmetry_space_group_name_H-M 'P m m m'
_symmetry_Int_Tables_number 47
loop_
_symmetry_equiv_pos_as_xyz
'x,y,z'
'-x,-y,-z'
'-x,-y,z'
'x,y,-z'
'x,-y,-z'
'-x,y,z'
'-x,y,-z'
'x,-y,z'
loop_
_atom_site_label
_atom_site_fract_x
_atom_site_fract_y
_atom_site_fract_z
Ba1 0.000 0.000 0.239
La1 0.500 0.500 0.500
Ru1 0.500 0.500 0.000
```